YMo: relaxed, PBE-GGA.

a = 5.609 Å, b = 5.609 Å, c = 5.609 Å
α = 90.00°, β = 90.00°, γ = 90.00°
Element x y z (fractional)
Y 0.093 0.093 0.093
Y 0.407 0.907 0.593
Y 0.593 0.407 0.907
Y 0.907 0.593 0.407
Mo 0.101 0.601 0.899
Mo 0.399 0.399 0.399
Mo 0.601 0.899 0.101
Mo 0.899 0.101 0.601

Calculated formation energy: 0.774 eV per atom
Polymorph energy (0 for the lowest one): 638 meV/atom
E: -15.7 eV/f.u.